A plane-wave DFT calculation with GGA+U was carried out for a geometry-optimized SrNdV4O12 structure.

- Total moment: 1.003 Bohr magnetons per cell
- Total energy: -7.534 eV per atom

```
SrNdV4O12
1.0
7.334 0.000 0.000
0.000 3.498 4.908
0.000 -3.498 4.908
Sr Nd V O
1 1 4 12
direct
0.000 0.000 0.000
0.500 0.450 0.450
0.252 0.481 0.968
0.252 0.968 0.481
0.748 0.481 0.968
0.748 0.968 0.481
0.000 0.005 0.439
0.000 0.439 0.005
0.211 0.794 0.794
0.268 0.288 0.288
0.282 0.319 0.787
0.282 0.787 0.319
0.500 0.010 0.554
0.500 0.554 0.010
0.718 0.319 0.787
0.718 0.787 0.319
0.732 0.288 0.288
0.789 0.794 0.794
```